(1)
Density functional theory data (PBE) for an optimized crystal structure of CeScCdGa.

abc: 3.256 3.256 8.405
angles: 90.00 90.00 90.00
Fractional coordinates of all 4 atoms:
Ga  0.000  0.000  0.551
Sc  0.500  0.500  0.339
Cd  0.000  0.000  0.093
Ce  0.500  0.500  0.802

Values from the calculation:
As for the space-group type: P4mm.

---

(2)
Density functional theory data (PBE) for an optimized crystal structure of SrCeCdGa.

abc: 5.456 5.456 5.456
angles: 60.00 60.00 60.00
Fractional coordinates of all 4 atoms:
Sr  0.000  0.000  0.000
Ce  0.500  0.500  0.500
Cd  0.250  0.250  0.250
Ga  0.750  0.750  0.750

Values from the calculation:
As for the space-group type: F-43m.

---

(3)
Density functional theory data (PBE) for an optimized crystal structure of CeTlCdGa.

abc: 5.157 5.157 5.157
angles: 60.00 60.00 60.00
Fractional coordinates of all 4 atoms:
Tl  0.500  0.500  0.500
Ga  0.000  0.000  0.000
Cd  0.750  0.750  0.750
Ce  0.250  0.250  0.250

Values from the calculation:
As for the space-group type: F-43m.

---

(4)
Density functional theory data (PBE) for an optimized crystal structure of CeTmCdGa.

abc: 5.201 5.201 5.201
angles: 60.00 60.00 60.00
Fractional coordinates of all 4 atoms:
Ga  0.250  0.250  0.250
Cd  0.750  0.750  0.750
Tm  0.000  0.000  0.000
Ce  0.500  0.500  0.500

Values from the calculation:
As for the space-group type: F-43m.

---

(5)
Density functional theory data (PBE) for an optimized crystal structure of CeYCdGa.

abc: 5.241 5.241 5.241
angles: 60.00 60.00 60.00
Fractional coordinates of all 4 atoms:
Ga  0.500  0.500  0.500
Ce  0.250  0.250  0.250
Cd  0.000  0.000  0.000
Y  0.750  0.750  0.750

Values from the calculation:
As for the space-group type: F-43m.

---

(6)
Density functional theory data (PBE) for an optimized crystal structure of CeZnCdGa.

abc: 4.931 4.931 4.931
angles: 60.00 60.00 60.00
Fractional coordinates of all 4 atoms:
Ce  0.250  0.250  0.250
Ga  0.000  0.000  0.000
Cd  0.750  0.750  0.750
Zn  0.500  0.500  0.500

Values from the calculation:
As for the space-group type: F-43m.

---

(7)
Density functional theory data (PBE) for an optimized crystal structure of Ce2Zn4CdGa3.

abc: 4.294 4.294 10.729
angles: 90.00 90.00 90.00
Fractional coordinates of all 10 atoms:
Ga  0.000  0.500  0.131
Zn  0.000  0.000  0.000
Ce  0.000  0.500  0.763
Ce  0.500  0.000  0.237
Zn  0.500  0.000  0.643
Ga  0.500  0.000  0.869
Ga  0.000  0.000  0.500
Zn  0.000  0.500  0.357
Cd  0.500  0.500  0.500
Zn  0.500  0.500  0.000

Values from the calculation:
As for the space-group type: P-4m2.

---

(8)
Density functional theory data (PBE) for an optimized crystal structure of CeZrCdGa.

abc: 5.078 5.078 5.078
angles: 60.00 60.00 60.00
Fractional coordinates of all 4 atoms:
Ga  0.250  0.250  0.250
Cd  0.750  0.750  0.750
Ce  0.000  0.000  0.000
Zr  0.500  0.500  0.500

Values from the calculation:
As for the space-group type: F-43m.

---

(9)
Density functional theory data (PBE) for an optimized crystal structure of Ce2GdCd.

abc: 3.318 3.318 12.576
angles: 82.42 82.42 60.00
Fractional coordinates of all 4 atoms:
Ce  0.089  0.089  0.734
Gd  0.500  0.500  0.500
Cd  0.000  0.000  0.000
Ce  0.911  0.911  0.266

Values from the calculation:
As for the space-group type: R-3m.

---

(10)
Density functional theory data (PBE) for an optimized crystal structure of CeGdCd.

abc: 3.070 5.397 5.397
angles: 120.00 90.00 90.00
Fractional coordinates of all 3 atoms:
Cd  0.667  0.667  0.333
Gd  0.166  0.333  0.667
Ce  0.167  0.000  0.000

Values from the calculation:
As for the space-group type: P-6m2.

---

(11)
Density functional theory data (PBE) for an optimized crystal structure of CeGd2Cd.

abc: 3.557 3.557 9.041
angles: 90.00 90.00 90.00
Fractional coordinates of all 4 atoms:
Ce  0.500  0.500  0.500
Gd  0.000  0.000  0.765
Cd  0.500  0.500  0.000
Gd  0.000  0.000  0.235

Values from the calculation:
As for the space-group type: P4/mmm.

---

(12)
Density functional theory data (PBE) for an optimized crystal structure of Ce2GdCd.

abc: 3.329 3.329 10.196
angles: 90.00 90.00 90.00
Fractional coordinates of all 4 atoms:
Ce  0.000  0.000  0.236
Ce  0.000  0.000  0.764
Cd  0.500  0.500  0.000
Gd  0.500  0.500  0.500

Values from the calculation:
As for the space-group type: P4/mmm.

---

(13)
Density functional theory data (PBE) for an optimized crystal structure of CeGd2Cd.

abc: 4.730 4.955 4.955
angles: 90.00 90.00 90.00
Fractional coordinates of all 4 atoms:
Gd  0.000  0.000  0.500
Cd  0.500  0.000  0.000
Ce  0.500  0.500  0.500
Gd  0.000  0.500  0.000

Values from the calculation:
As for the space-group type: P4/mmm.

---

(14)
Density functional theory data (PBE) for an optimized crystal structure of CeGdCd.

abc: 3.526 3.526 7.396
angles: 103.79 103.79 90.00
Fractional coordinates of all 3 atoms:
Gd  0.939  0.939  0.879
Ce  0.625  0.625  0.249
Cd  0.286  0.286  0.572

Values from the calculation:
As for the space-group type: I4mm.

---

(15)
Density functional theory data (PBE) for an optimized crystal structure of CeGd2Cd.

abc: 4.106 4.106 10.003
angles: 78.16 78.16 60.00
Fractional coordinates of all 4 atoms:
Gd  0.889  0.889  0.332
Gd  0.111  0.111  0.668
Ce  0.500  0.500  0.500
Cd  0.000  0.000  0.000

Values from the calculation:
As for the space-group type: R-3m.

---

(16)
Density functional theory data (PBE) for an optimized crystal structure of Ce2GdCd.

abc: 5.473 5.473 5.473
angles: 60.00 60.00 60.00
Fractional coordinates of all 4 atoms:
Ce  0.750  0.750  0.750
Ce  0.250  0.250  0.250
Gd  0.000  0.000  0.000
Cd  0.500  0.500  0.500

Values from the calculation:
As for the space-group type: Fm-3m.

---

(17)
Density functional theory data (PBE) for an optimized crystal structure of CeGd2Cd.

abc: 5.435 5.435 5.435
angles: 60.00 60.00 60.00
Fractional coordinates of all 4 atoms:
Cd  0.000  0.000  0.000
Gd  0.750  0.750  0.750
Ce  0.500  0.500  0.500
Gd  0.250  0.250  0.250

Values from the calculation:
As for the space-group type: Fm-3m.

---

(18)
Density functional theory data (PBE) for an optimized crystal structure of CeGdCdGe.

abc: 5.240 5.240 5.240
angles: 60.00 60.00 60.00
Fractional coordinates of all 4 atoms:
Cd  0.750  0.750  0.750
Ce  0.000  0.000  0.000
Ge  0.250  0.250  0.250
Gd  0.500  0.500  0.500

Values from the calculation:
As for the space-group type: F-43m.

---

(19)
Density functional theory data (PBE) for an optimized crystal structure of CeGdCdHg.

abc: 5.370 5.370 5.370
angles: 60.00 60.00 60.00
Fractional coordinates of all 4 atoms:
Hg  0.250  0.250  0.250
Ce  0.500  0.500  0.500
Gd  0.000  0.000  0.000
Cd  0.750  0.750  0.750

Values from the calculation:
As for the space-group type: F-43m.

---

(20)
Density functional theory data (PBE) for an optimized crystal structure of LaCeGdCd.

abc: 5.507 5.507 5.507
angles: 60.00 60.00 60.00
Fractional coordinates of all 4 atoms:
Gd  0.000  0.000  0.000
Ce  0.250  0.250  0.250
Cd  0.750  0.750  0.750
La  0.500  0.500  0.500

Values from the calculation:
As for the space-group type: F-43m.

---

Number 1: raw total energy -4.445 eV per atom. Number 2: raw total energy -3.152 eV per atom. Number 3: raw total energy -3.277 eV per atom. Number 4: raw total energy -3.942 eV per atom. Number 5: raw total energy -4.455 eV per atom. Number 6: raw total energy -3.101 eV per atom. Number 7: raw total energy -3.066 eV per atom. Number 8: raw total energy -4.814 eV per atom. Number 9: raw total energy -6.486 eV per atom. Number 10: raw total energy -6.972 eV per atom. Number 11: raw total energy -8.866 eV per atom. Number 12: raw total energy -6.709 eV per atom. Number 13: raw total energy -8.817 eV per atom. Number 14: raw total energy -7.080 eV per atom. Number 15: raw total energy -7.949 eV per atom. Number 16: raw total energy -6.646 eV per atom. Number 17: raw total energy -8.754 eV per atom. Number 18: raw total energy -6.812 eV per atom. Number 19: raw total energy -5.619 eV per atom. Number 20: raw total energy -6.456 eV per atom.